1.
Entry from Alexandria via LeMat-Bulk: HfSn3Ge after structural relaxation (PBE).

Unit cell a=5.5122 b=5.5122 c=5.5122 alpha=90.00 beta=90.00 gamma=90.00
Closest atoms and distances in Å follow each position.
Fractional coordinates of all 5 atoms:
1 Ge 0.5000 0.5000 0.5000  12 Sn 3.90
2 Hf 0.0000 0.0000 0.0000  6 Sn 2.76
3 Sn 0.0000 0.5000 0.0000  2 Hf 2.76
4 Sn 0.0000 0.0000 0.5000  2 Hf 2.76
5 Sn 0.5000 0.0000 0.0000  2 Hf 2.76

Values from the calculation:
Magnetization ... 0.00 μB/cell
Symmetry ... Pm-3m
Total DFT energy (no corrections) ... -23.53 eV for the cell shown
ΔE_f ... 609 meV per atom
Relative energy among the computed polymorphs ... 0 meV/atom

=====

2.
Entry from Alexandria via LeMat-Bulk: Hf8SnGe2 after structural relaxation (PBE).

Unit cell a=5.2453 b=7.3118 c=7.3118 alpha=115.86 beta=100.23 gamma=100.23
Closest atoms and distances in Å follow each position.
Fractional coordinates of all 11 atoms:
1 Hf 0.8843 0.9165 0.6793  2 Ge 2.74-2.76, 3 Hf 2.94-3.05
2 Hf 0.8843 0.6793 0.9165  2 Ge 2.74-2.76, 3 Hf 2.94-3.05
3 Hf 0.3042 0.5898 0.5898  2 Ge 2.84, 2 Hf 2.84-3.02, 1 Sn 3.00
4 Hf 0.5000 0.7586 0.2414  2 Ge 2.74, 1 Sn 2.99, 2 Hf 3.05
5 Hf 0.5000 0.2414 0.7586  2 Ge 2.74, 1 Sn 2.99, 2 Hf 3.05
6 Hf 0.6958 0.4102 0.4102  2 Ge 2.84, 2 Hf 2.84-3.02, 1 Sn 3.00
7 Hf 0.1157 0.3207 0.0835  2 Ge 2.74-2.76, 3 Hf 2.94-3.05
8 Hf 0.1157 0.0835 0.3207  2 Ge 2.74-2.76, 3 Hf 2.94-3.05
9 Sn 0.5000 0.0000 0.0000  8 Hf 2.99-3.29
10 Ge 0.0000 0.3062 0.6938  8 Hf 2.74-2.84
11 Ge 0.0000 0.6938 0.3062  8 Hf 2.74-2.84

Values from the calculation:
Magnetization ... 0.00 μB/cell
Symmetry ... C2/m
Total DFT energy (no corrections) ... -95.38 eV for the cell shown
ΔE_f ... -228 meV per atom

=====

3.
Entry from Alexandria via LeMat-Bulk: HfSn3Ge after structural relaxation (PBE).

Unit cell a=5.2232 b=5.2232 c=5.2232 alpha=90.00 beta=90.00 gamma=90.00
Closest atoms and distances in Å follow each position.
Fractional coordinates of all 5 atoms:
1 Ge 0.0000 0.0000 0.0000  6 Sn 2.61
2 Hf 0.5000 0.5000 0.5000  12 Sn 3.69
3 Sn 0.0000 0.5000 0.0000  2 Ge 2.61
4 Sn 0.0000 0.0000 0.5000  2 Ge 2.61
5 Sn 0.5000 0.0000 0.0000  2 Ge 2.61

Values from the calculation:
Magnetization ... 0.00 μB/cell
Symmetry ... Pm-3m
Total DFT energy (no corrections) ... -22.40 eV for the cell shown
ΔE_f ... 836 meV per atom
Relative energy among the computed polymorphs ... 227 meV/atom

=====

4.
Entry from Alexandria via LeMat-Bulk: Hf4Sn2Ge after structural relaxation (PBE).

Unit cell a=4.7971 b=4.7971 c=8.3075 alpha=73.22 beta=73.22 gamma=90.00
Closest atoms and distances in Å follow each position.
Fractional coordinates of all 7 atoms:
1 Ge 0.0000 0.0000 0.0000  6 Hf 2.40-2.56
2 Hf 0.1687 0.1687 0.6626  1 Ge 2.56
3 Hf 0.8313 0.8313 0.3374  1 Ge 2.56
4 Hf 0.0000 0.5000 0.0000  2 Ge 2.40
5 Hf 0.5000 0.0000 0.0000  2 Ge 2.40
6 Sn 0.3612 0.3612 0.2777  5 Hf 2.92-3.19
7 Sn 0.6388 0.6388 0.7223  5 Hf 2.92-3.19

Values from the calculation:
Magnetization ... 0.00 μB/cell
Symmetry ... I4/mmm
Total DFT energy (no corrections) ... -51.37 eV for the cell shown
ΔE_f ... 153 meV per atom

=====

5.
Entry from Alexandria via LeMat-Bulk: Hf2Sn2Ge after structural relaxation (PBE).

Unit cell a=7.6565 b=7.6565 c=3.9243 alpha=90.00 beta=90.00 gamma=90.00
Closest atoms and distances in Å follow each position.
Fractional coordinates of all 10 atoms:
1 Ge 0.0000 0.0000 0.0000  4 Sn 2.92
2 Ge 0.5000 0.5000 0.0000  4 Sn 2.92
3 Hf 0.1496 0.6496 0.5000  6 Sn 2.94-3.01, 1 Hf 3.24
4 Hf 0.6496 0.8504 0.5000  6 Sn 2.94-3.01, 1 Hf 3.24
5 Hf 0.8504 0.3504 0.5000  6 Sn 2.94-3.01, 1 Hf 3.24
6 Hf 0.3504 0.1496 0.5000  6 Sn 2.94-3.01, 1 Hf 3.24
7 Sn 0.3514 0.8514 0.0000  2 Ge 2.92, 6 Hf 2.94-3.01, 1 Sn 3.22
8 Sn 0.8514 0.6486 0.0000  2 Ge 2.92, 6 Hf 2.94-3.01, 1 Sn 3.22
9 Sn 0.6486 0.1486 0.0000  2 Ge 2.92, 6 Hf 2.94-3.01, 1 Sn 3.22
10 Sn 0.1486 0.3514 0.0000  2 Ge 2.92, 6 Hf 2.94-3.01, 1 Sn 3.22

Values from the calculation:
Magnetization ... 0.00 μB/cell
Symmetry ... P4/mbm
Total DFT energy (no corrections) ... -64.40 eV for the cell shown
ΔE_f ... 66 meV per atom
Relative energy among the computed polymorphs ... 349 meV/atom

=====

6.
Entry from Alexandria via LeMat-Bulk: HfSnGe2Te after structural relaxation (PBE).

Unit cell a=5.2132 b=5.6511 c=5.2132 alpha=90.00 beta=90.00 gamma=90.00
Closest atoms and distances in Å follow each position.
Fractional coordinates of all 5 atoms:
1 Ge 0.0000 0.0000 0.5000  2 Hf 2.61
2 Ge 0.5000 0.0000 0.0000  2 Hf 2.61
3 Te 0.5000 0.5000 0.5000  4 Sn 3.69, 8 Ge 3.84
4 Hf 0.0000 0.0000 0.0000  4 Ge 2.61, 2 Sn 2.83
5 Sn 0.0000 0.5000 0.0000  2 Hf 2.83

Values from the calculation:
ΔE_f (raw) ... 0.48 eV/atom
Magnetization ... 0.00 μB/cell
Symmetry ... P4/mmm
Total DFT energy (no corrections) ... -23.92 eV for the cell shown

=====

7.
Entry from Alexandria via LeMat-Bulk: HfSn2GeW after structural relaxation (PBE).

Unit cell a=5.2330 b=5.2330 c=5.0348 alpha=90.00 beta=90.00 gamma=90.00
Closest atoms and distances in Å follow each position.
Fractional coordinates of all 5 atoms:
1 Ge 0.5000 0.5000 0.5000  8 Sn 3.63, 4 Hf 3.70
2 Hf 0.0000 0.0000 0.5000  2 W 2.52
3 Sn 0.0000 0.5000 0.0000  2 W 2.62
4 Sn 0.5000 0.0000 0.0000  2 W 2.62
5 W 0.0000 0.0000 0.0000  2 Hf 2.52, 4 Sn 2.62

Values from the calculation:
Magnetization ... 0.00 μB/cell
Symmetry ... P4/mmm
Total DFT energy (no corrections) ... -31.46 eV for the cell shown
ΔE_f ... 813 meV per atom

=====

8.
Entry from Alexandria via LeMat-Bulk: YHf2SnGe after structural relaxation (PBE).

Unit cell a=4.9964 b=5.2744 c=4.9964 alpha=90.00 beta=90.00 gamma=90.00
Closest atoms and distances in Å follow each position.
Fractional coordinates of all 5 atoms:
1 Y 0.0000 0.5000 0.0000  2 Ge 2.64
2 Ge 0.0000 0.0000 0.0000  4 Hf 2.50, 2 Y 2.64
3 Hf 0.0000 0.0000 0.5000  2 Ge 2.50
4 Hf 0.5000 0.0000 0.0000  2 Ge 2.50
5 Sn 0.5000 0.5000 0.5000  4 Y 3.53, 8 Hf 3.63

Values from the calculation:
Magnetization ... 0.00 μB/cell
Symmetry ... P4/mmm
Total DFT energy (no corrections) ... -34.70 eV for the cell shown
ΔE_f ... 58 meV per atom
Relative energy among the computed polymorphs ... 0 meV/atom

=====

9.
Entry from Alexandria via LeMat-Bulk: YHf2SnGe after structural relaxation (PBE).

Unit cell a=5.2396 b=5.5666 c=5.2396 alpha=90.00 beta=90.00 gamma=90.00
Closest atoms and distances in Å follow each position.
Fractional coordinates of all 5 atoms:
1 Y 0.0000 0.0000 0.0000  4 Hf 2.62, 2 Sn 2.78
2 Ge 0.5000 0.5000 0.5000  4 Sn 3.70, 8 Hf 3.82
3 Hf 0.0000 0.0000 0.5000  2 Y 2.62
4 Hf 0.5000 0.0000 0.0000  2 Y 2.62
5 Sn 0.0000 0.5000 0.0000  2 Y 2.78

Values from the calculation:
Magnetization ... 0.00 μB/cell
Symmetry ... P4/mmm
Total DFT energy (no corrections) ... -27.86 eV for the cell shown
ΔE_f ... 1426 meV per atom
Relative energy among the computed polymorphs ... 1368 meV/atom

=====

10.
Entry from Alexandria via LeMat-Bulk: SrHfGe2 after structural relaxation (PBE).

Unit cell a=5.0490 b=5.0490 c=5.0490 alpha=60.00 beta=60.00 gamma=60.00
Closest atoms and distances in Å follow each position.
Fractional coordinates of all 4 atoms:
1 Sr 0.0000 0.0000 0.0000  8 Ge 3.09
2 Ge 0.2500 0.2500 0.2500  4 Hf 3.09, 4 Sr 3.09
3 Ge 0.7500 0.7500 0.7500  4 Sr 3.09, 4 Hf 3.09
4 Hf 0.5000 0.5000 0.5000  8 Ge 3.09

Values from the calculation:
Magnetization ... 0.00 μB/cell
Symmetry ... Fm-3m
Total DFT energy (no corrections) ... -21.28 eV for the cell shown
ΔE_f ... -101 meV per atom
Relative energy among the computed polymorphs ... 286 meV/atom

=====

11.
Entry from Alexandria via LeMat-Bulk: SrHfGe2 after structural relaxation (PBE).

Unit cell a=4.3357 b=4.3357 c=6.8127 alpha=71.45 beta=71.45 gamma=60.00
Closest atoms and distances in Å follow each position.
Fractional coordinates of all 4 atoms:
1 Sr 0.5000 0.5000 0.5000  6 Ge 3.22
2 Ge 0.2731 0.2731 0.1808  3 Hf 2.75
3 Ge 0.7269 0.7269 0.8192  3 Hf 2.75
4 Hf 0.0000 0.0000 0.0000  6 Ge 2.75

Values from the calculation:
Magnetization ... 0.00 μB/cell
Symmetry ... R-3m
Total DFT energy (no corrections) ... -22.42 eV for the cell shown
ΔE_f ... -388 meV per atom
Relative energy among the computed polymorphs ... 0 meV/atom

=====

12.
Entry from Alexandria via LeMat-Bulk: SrHf2Ge2 after structural relaxation (PBE).

Unit cell a=7.8503 b=7.8503 c=3.5776 alpha=90.00 beta=90.00 gamma=90.00
Closest atoms and distances in Å follow each position.
Fractional coordinates of all 10 atoms:
1 Sr 0.0000 0.0000 0.0000  4 Ge 3.05
2 Sr 0.5000 0.5000 0.0000  4 Ge 3.05
3 Ge 0.3637 0.8637 0.0000  6 Hf 2.90-2.94, 1 Ge 3.03, 2 Sr 3.05
4 Ge 0.8637 0.6363 0.0000  6 Hf 2.90-2.94, 1 Ge 3.03, 2 Sr 3.05
5 Ge 0.6363 0.1363 0.0000  6 Hf 2.90-2.94, 1 Ge 3.03, 2 Sr 3.05
6 Ge 0.1363 0.3637 0.0000  6 Hf 2.90-2.94, 1 Ge 3.03, 2 Sr 3.05
7 Hf 0.1536 0.6536 0.5000  6 Ge 2.90-2.94
8 Hf 0.6536 0.8464 0.5000  6 Ge 2.90-2.94
9 Hf 0.8464 0.3464 0.5000  6 Ge 2.90-2.94
10 Hf 0.3464 0.1536 0.5000  6 Ge 2.90-2.94

Values from the calculation:
Magnetization ... 0.00 μB/cell
Symmetry ... P4/mbm
Total DFT energy (no corrections) ... -64.12 eV for the cell shown
ΔE_f ... -247 meV per atom
Relative energy among the computed polymorphs ... 0 meV/atom